This record from the Alexandria database describes a relaxed LiDyS2 crystal. The functional is GGA-PBEsol.

Summary:
ρ = 4.90 g/cm³
E = -0.4269 Ry/atom
Formation energy (no corrections) = -1.8794 eV per atom
Density of states at the Fermi level = 0.000 states/eV per atom

Unit cell a=5.3752 b=5.3752 c=10.9625 alpha=90.00 beta=90.00 gamma=90.00
Space group I4_1/amd (No. 141, origin choice 2)
Asymmetric unit:
1 Li 0.0000 0.2500 0.3750 (multiplicity 4)
2 Dy 0.0000 0.2500 0.8750 (multiplicity 4)
3 S 0.0000 0.2500 0.1208 (multiplicity 8)